Material: P4WO12
Method: DFT, PBE+U
State: relaxed

## Properties
- V (A^3/atom) = 17.16
- magnetization (μB per formula unit) = 2.0
- energy above the most stable polymorph in this dataset (meV per atom) = 26
- density of states at the Fermi level (states/eV per cell) = 0.00

Cell: 17.4761 12.7248 5.3864 Å, 90.00 103.09 90.00°
Last column: nearest neighbours and their distance in Å.
Space group C2/m (No. 12)
Asymmetric unit:
P1 0.0780 0.2181 0.1708 x8  3 O 1.46-1.61
P2 0.1845 0.3811 0.4552 x8  4 O 1.51-1.59
W1 0.2500 0.2500 0.0000 x4  6 O 2.02-2.12
O1 0.0000 0.2718 0.0000 x4  2 P 1.61
O2 0.0672 0.1254 0.3178 x8  1 P 1.46
O3 0.1041 0.3231 0.3566 x8  2 P 1.57-1.67
O4 0.1369 0.2155 0.9951 x8  1 P 1.55
O5 0.1576 0.5000 0.3967 x4  2 P 1.59
O6 0.2113 0.3708 0.7433 x8  1 P 1.52
O7 0.2452 0.3517 0.3080 x8  1 P 1.51